Entry from the Alexandria database: crystalline SiOsRh2 at its relaxed geometry (GGA-PBE).

Summary:
Space group ... No. 160
Spin magnetization ... 0.00 μB per formula unit
Formation energy without anion corrections ... -0.1629 eV/atom

a = 8.399 Å, b = 8.399 Å, c = 8.399 Å
α = 19.09°, β = 19.09°, γ = 19.09°
Element x y z (fractional)
Si  0.000  0.000  0.000
Os  0.745  0.745  0.745
Rh  0.260  0.260  0.260
Rh  0.499  0.499  0.499


Entry from the Alexandria database: crystalline SiOsRh2 at its relaxed geometry (GGA-PBE).

Summary:
Space group ... No. 123
Spin magnetization ... 0.00 μB per formula unit
Formation energy without anion corrections ... -0.2042 eV/atom

a = 2.758 Å, b = 2.758 Å, c = 7.147 Å
α = 90.00°, β = 90.00°, γ = 90.00°
Element x y z (fractional)
Si  0.000  0.000  0.000
Os  0.000  0.000  0.500
Rh  0.500  0.500  0.225
Rh  0.500  0.500  0.775


Entry from the Alexandria database: crystalline SiOsRh at its relaxed geometry (GGA-PBE).

Summary:
Space group ... No. 216
Spin magnetization ... 0.00 μB per formula unit
Formation energy without anion corrections ... -0.1878 eV/atom
Energy above the most stable polymorph in this dataset ... 7.1 kJ per mole of atoms

a = 3.991 Å, b = 3.991 Å, c = 3.991 Å
α = 60.00°, β = 60.00°, γ = 60.00°
Element x y z (fractional)
Si  0.000  0.000  0.000
Os  0.250  0.250  0.250
Rh  0.750  0.750  0.750


Entry from the Alexandria database: crystalline SiOsRh4 at its relaxed geometry (GGA-PBE).

Summary:
Space group ... No. 216
Spin magnetization ... 2.37 μB per formula unit
Formation energy without anion corrections ... 0.6433 eV/atom

a = 5.049 Å, b = 5.049 Å, c = 5.049 Å
α = 60.00°, β = 60.00°, γ = 60.00°
Element x y z (fractional)
Si  0.000  0.000  0.000
Os  0.750  0.750  0.750
Rh  0.375  0.375  0.375
Rh  0.375  0.375  0.875
Rh  0.375  0.875  0.375
Rh  0.875  0.375  0.375


Entry from the Alexandria database: crystalline SiOs2Rh at its relaxed geometry (GGA-PBE).

Summary:
Space group ... No. 123
Spin magnetization ... 0.00 μB per formula unit
Formation energy without anion corrections ... -0.0627 eV/atom

a = 2.870 Å, b = 2.870 Å, c = 6.645 Å
α = 90.00°, β = 90.00°, γ = 90.00°
Element x y z (fractional)
Si  0.000  0.000  0.000
Os  0.500  0.500  0.216
Os  0.500  0.500  0.784
Rh  0.000  0.000  0.500


Entry from the Alexandria database: crystalline SiOs2Rh at its relaxed geometry (GGA-PBE).

Summary:
Space group ... No. 119
Spin magnetization ... 0.00 μB per formula unit
Formation energy without anion corrections ... -0.0292 eV/atom

a = 4.643 Å, b = 4.643 Å, c = 4.643 Å
α = 131.38°, β = 131.38°, γ = 71.21°
Element x y z (fractional)
Si  0.000  0.000  0.000
Os  0.250  0.750  0.500
Os  0.500  0.500  0.000
Rh  0.750  0.250  0.500


Entry from the Alexandria database: crystalline SiOsRh2 at its relaxed geometry (GGA-PBE).

Summary:
Space group ... No. 65
Spin magnetization ... 0.00 μB per formula unit
Formation energy without anion corrections ... -0.1547 eV/atom

a = 4.629 Å, b = 4.629 Å, c = 2.725 Å
α = 90.00°, β = 90.00°, γ = 109.33°
Element x y z (fractional)
Si  0.000  0.000  0.000
Os  0.500  0.500  0.000
Rh  0.000  0.500  0.500
Rh  0.500  0.000  0.500


Entry from the Alexandria database: crystalline SiOs2Rh at its relaxed geometry (GGA-PBE).

Summary:
Space group ... No. 216
Spin magnetization ... 1.72 μB per formula unit
Formation energy without anion corrections ... 0.3226 eV/atom

a = 4.315 Å, b = 4.315 Å, c = 4.315 Å
α = 60.00°, β = 60.00°, γ = 60.00°
Element x y z (fractional)
Si  0.000  0.000  0.000
Os  0.250  0.250  0.250
Os  0.500  0.500  0.500
Rh  0.750  0.750  0.750


Entry from the Alexandria database: crystalline SiOsRh at its relaxed geometry (GGA-PBE).

Summary:
Space group ... No. 42
Spin magnetization ... 0.00 μB per formula unit
Formation energy without anion corrections ... 0.0164 eV/atom
Energy above the most stable polymorph in this dataset ... 26.8 kJ per mole of atoms

a = 6.625 Å, b = 6.351 Å, c = 2.778 Å
α = 83.24°, β = 72.16°, γ = 24.61°
Element x y z (fractional)
Si  0.000  0.000  0.000
Os  0.348  0.348  0.652
Rh  0.650  0.650  0.350


Entry from the Alexandria database: crystalline SiOsRh2 at its relaxed geometry (GGA-PBE).

Summary:
Space group ... No. 25
Spin magnetization ... 0.00 μB per formula unit
Formation energy without anion corrections ... -0.0858 eV/atom

a = 2.762 Å, b = 3.639 Å, c = 5.502 Å
α = 90.00°, β = 90.00°, γ = 90.00°
Element x y z (fractional)
Si  0.000  0.000  0.000
Os  0.500  0.500  0.270
Rh  0.000  0.000  0.503
Rh  0.500  0.500  0.789


Entry from the Alexandria database: crystalline SiOs2Rh at its relaxed geometry (GGA-PBE).

Summary:
Space group ... No. 71
Spin magnetization ... 0.00 μB per formula unit
Formation energy without anion corrections ... -0.1533 eV/atom

a = 5.300 Å, b = 5.300 Å, c = 5.300 Å
α = 149.17°, β = 132.38°, γ = 57.81°
Element x y z (fractional)
Si  0.000  0.000  0.000
Os  0.212  0.712  0.500
Os  0.788  0.288  0.500
Rh  0.500  0.500  0.000


Entry from the Alexandria database: crystalline SiOsRh2 at its relaxed geometry (GGA-PBE).

Summary:
Space group ... No. 10
Spin magnetization ... 0.00 μB per formula unit
Formation energy without anion corrections ... -0.1261 eV/atom

a = 4.498 Å, b = 2.761 Å, c = 4.607 Å
α = 90.00°, β = 106.00°, γ = 90.00°
Element x y z (fractional)
Si  0.000  0.000  0.000
Os  0.500  0.500  0.000
Rh  0.000  0.500  0.500
Rh  0.500  0.000  0.500